Material: BaHg3P
Method: DFT, PBE
State: relaxed

Values from the calculation:
**SG**: Pm-3m (221)
**Relative energy among the computed polymorphs**: 790 meV/atom
**Formation energy**: 0.734 eV/atom
**DOS(E_F)**: 1.58 states/eV/atom
**E**: -4.566 eV per formula unit
**Mass density**: 4.465 g/cm3

a = 6.592 Å, b = 6.592 Å, c = 6.592 Å
α = 90.00°, β = 90.00°, γ = 90.00°
Positions (direct):
Ba: 0.000 0.000 0.000
Hg: 0.000 0.000 0.500
Hg: 0.000 0.500 0.000
Hg: 0.500 0.000 0.000
P: 0.500 0.500 0.500